The following is a GGA-PBE calculation of SmTmInGa after structural relaxation, from the Alexandria database.

Output
E above lowest polymorph (meV/atom): 0
SG: P4mm, No. 99
Crystal system: tetragonal
Formation energy (eV per formula unit): -2.044

a = 3.635 Å, b = 3.635 Å, c = 7.562 Å
α = 90.00°, β = 90.00°, γ = 90.00°
Element x y z (fractional)
Sm (0.000, 0.000, 0.000)
Tm (0.000, 0.000, 0.470)
In (0.500, 0.500, 0.724)
Ga (0.500, 0.500, 0.248)



The following is a GGA-PBE calculation of ZrZnSb2 after structural relaxation, from the Alexandria database.

Output
Uncorrected formation energy (eV per atom): -0.3203
SG: P2/m, No. 10
Crystal system: monoclinic

a = 3.808 Å, b = 3.824 Å, c = 6.124 Å
α = 90.00°, β = 90.10°, γ = 90.00°
Element x y z (fractional)
Zr (0.000, 0.000, 0.000)
Zn (0.000, 0.000, 0.500)
Sb (0.499, 0.500, 0.753)
Sb (0.501, 0.500, 0.247)



D(E_F) (states/eV/atom)
0.55, 0.37